# 1
Below is a relaxed InPtW3 crystal, with properties calculated at the GGA-PBE level.

Calculated values
As for the size of the total moment: 0.000 μB/atom. The volume is 110 Å³ per cell. For the formation energy, the calculation gives 2.934 eV per atom.

Unit cell a=4.790 b=4.790 c=4.790 alpha=90.00 beta=90.00 gamma=90.00
Space group Pm-3m (No. 221)
Inequivalent atoms, fractional coordinates:
In  0.000  0.000  0.000 x1
Pt  0.500  0.500  0.500 x1
W  0.000  0.000  0.500 x3

# 2
Below is a relaxed InPtW2 crystal, with properties calculated at the GGA-PBE level.

Calculated values
As for the size of the total moment: 0.000 μB/atom. The volume is 135 Å³ per cell. For the formation energy, the calculation gives 0.304 eV per atom.

Unit cell a=5.458 b=8.877 c=2.790 alpha=90.00 beta=90.43 gamma=90.00
Space group C2/m (No. 12)
Inequivalent atoms, fractional coordinates:
In  0.000  0.000  0.000 x2
Pt  0.000  0.500  0.000 x2
W  0.250  0.250  0.500 x4

# 3
Below is a relaxed In2PtW crystal, with properties calculated at the GGA-PBE level.

Calculated values
As for the size of the total moment: 0.092 μB/atom. The volume is 150 Å³ per cell. For the formation energy, the calculation gives 0.342 eV per atom.

Unit cell a=3.003 b=5.210 c=9.572 alpha=90.00 beta=90.00 gamma=90.00
Space group Immm (No. 71)
Inequivalent atoms, fractional coordinates:
In  0.000  0.000  0.240 x4
Pt  0.000  0.500  0.500 x2
W  0.000  0.500  0.000 x2

# 4
Below is a relaxed In2PtW crystal, with properties calculated at the GGA-PBE level.

Calculated values
As for the size of the total moment: 0.000 μB/atom. The volume is 148 Å³ per cell. For the formation energy, the calculation gives 0.361 eV per atom.

Unit cell a=4.022 b=4.022 c=9.131 alpha=90.00 beta=90.00 gamma=90.00
Space group I-4m2 (No. 119)
Inequivalent atoms, fractional coordinates:
In  0.000  0.000  0.000 x2
In  0.000  0.500  0.250 x2
Pt  0.000  0.500  0.750 x2
W  0.000  0.000  0.500 x2

# 5
Below is a relaxed In2Pt2W crystal, with properties calculated at the GGA-PBE level.

Calculated values
As for the size of the total moment: 0.392 μB/atom. The volume is 195 Å³ per cell. For the formation energy, the calculation gives 0.494 eV per atom.

Unit cell a=3.906 b=3.906 c=12.778 alpha=90.00 beta=90.00 gamma=90.00
Space group I4/mmm (No. 139)
Inequivalent atoms, fractional coordinates:
In  0.000  0.500  0.250 x4
Pt  0.000  0.000  0.099 x4
W  0.000  0.000  0.500 x2

# 6
Below is a relaxed In2PtW crystal, with properties calculated at the GGA-PBE level.

Calculated values
As for the size of the total moment: 0.042 μB/atom. The volume is 73 Å³ per cell. For the formation energy, the calculation gives 0.203 eV per atom.

Unit cell a=2.939 b=2.939 c=8.424 alpha=90.00 beta=90.00 gamma=90.00
Space group P4/mmm (No. 123)
Inequivalent atoms, fractional coordinates:
In  0.000  0.000  0.241 x2
Pt  0.500  0.500  0.000 x1
W  0.500  0.500  0.500 x1

# 7
Below is a relaxed In3PtW crystal, with properties calculated at the GGA-PBE level.

Calculated values
As for the size of the total moment: 0.788 μB/atom. The volume is 135 Å³ per cell. For the formation energy, the calculation gives 0.977 eV per atom.

Unit cell a=5.129 b=5.129 c=5.129 alpha=90.00 beta=90.00 gamma=90.00
Space group Pm-3m (No. 221)
Inequivalent atoms, fractional coordinates:
In  0.000  0.000  0.500 x3
Pt  0.000  0.000  0.000 x1
W  0.500  0.500  0.500 x1

# 8
Below is a relaxed InPtW2 crystal, with properties calculated at the GGA-PBE level.

Calculated values
As for the size of the total moment: 0.000 μB/atom. The volume is 69 Å³ per cell. For the formation energy, the calculation gives 0.207 eV per atom.

Unit cell a=2.798 b=4.374 c=5.670 alpha=90.00 beta=97.92 gamma=90.00
Space group Pm (No. 6)
Inequivalent atoms, fractional coordinates:
In  0.000  0.000  0.000 x1
Pt  0.141  0.500  0.265 x1
W  0.436  0.500  0.744 x1
W  0.677  0.000  0.507 x1

# 9
Below is a relaxed InPtW2 crystal, with properties calculated at the GGA-PBE level.

Calculated values
As for the size of the total moment: 0.000 μB/atom. The volume is 138 Å³ per cell. For the formation energy, the calculation gives 0.275 eV per atom.

Unit cell a=3.484 b=4.563 c=8.650 alpha=90.00 beta=90.00 gamma=90.00
Space group Imm2 (No. 44)
Inequivalent atoms, fractional coordinates:
In  0.000  0.000  0.000 x2
Pt  0.000  0.500  0.749 x2
W  0.000  0.000  0.509 x2
W  0.000  0.500  0.232 x2

# 10
Below is a relaxed In2PtW crystal, with properties calculated at the GGA-PBE level.

Calculated values
As for the size of the total moment: 0.000 μB/atom. The volume is 149 Å³ per cell. For the formation energy, the calculation gives 0.114 eV per atom.

Unit cell a=10.722 b=2.942 c=5.105 alpha=90.00 beta=112.03 gamma=90.00
Space group Cm (No. 8)
Inequivalent atoms, fractional coordinates:
In  0.000  0.000  0.000 x2
In  0.215  0.000  0.602 x2
Pt  0.256  0.500  0.113 x2
W  0.462  0.000  0.491 x2

# 11
Below is a relaxed In2PtW crystal, with properties calculated at the GGA-PBE level.

Calculated values
As for the size of the total moment: 0.000 μB/atom. The volume is 75 Å³ per cell. For the formation energy, the calculation gives 0.324 eV per atom.

Unit cell a=2.906 b=4.523 c=5.702 alpha=90.00 beta=93.38 gamma=90.00
Space group P2/m (No. 10)
Inequivalent atoms, fractional coordinates:
In  0.108  0.000  0.245 x2
Pt  0.000  0.500  0.500 x1
W  0.500  0.500  0.000 x1

# 12
Below is a relaxed In2PtW crystal, with properties calculated at the GGA-PBE level.

Calculated values
As for the size of the total moment: 0.277 μB/atom. The volume is 325 Å³ per cell. For the formation energy, the calculation gives 0.655 eV per atom.

Unit cell a=7.567 b=7.567 c=5.677 alpha=90.00 beta=90.00 gamma=90.00
Space group I-42d (No. 122)
Inequivalent atoms, fractional coordinates:
In  0.232  0.750  0.125 x8
Pt  0.000  0.000  0.000 x4
W  0.000  0.000  0.500 x4